DFT (PBE) results for a relaxed Os4Se crystal.

Results
relative energy among the computed polymorphs: 939 meV/atom

The structure in extended XYZ format:
```
5
Lattice="3.6805 0.6504 3.0353 -3.2947 -2.8441 2.0587 1.6007 -2.0647 -4.0444" Properties=species:S:1:pos:R:3 pbc="T T T"
Os 0.8003 -1.0324 -2.0222
Os 0.9932 -2.1292 0.5248
Os -1.6474 -1.4221 1.0293
Os 1.8403 0.3252 1.5176
Se 0.0000 0.0000 0.0000
```

=====

DFT (PBE) results for a relaxed OsSe7 crystal.

The structure in extended XYZ format:
```
8
Lattice="-4.5168 -2.9331 2.6371 -5.4522 2.4847 0.2430 -4.4653 -2.2375 -3.3188" Properties=species:S:1:pos:R:3 pbc="T T T"
Se -7.2171 -1.3430 -0.2193
Se -4.9587 0.1236 -1.5379
Se -2.2326 -1.1188 -1.6594
Se -2.7261 1.2423 0.1215
Se -4.9845 -0.2242 1.4400
Se -2.2584 -1.4665 1.3186
Se -4.4910 -2.5853 -0.3408
Os 0.0000 0.0000 0.0000
```

=====

DFT (PBE) results for a relaxed Os4Se crystal.

Results
relative energy among the computed polymorphs: 0 meV/atom

The structure in extended XYZ format:
```
5
Lattice="1.5318 -4.1716 1.7777 -2.0568 3.7815 2.0927 -3.6741 -1.5530 -2.6454" Properties=species:S:1:pos:R:3 pbc="T T T"
Os -2.2917 -0.0763 1.6719
Os -3.8457 0.2879 -0.4926
Os -0.3534 -2.2311 1.7176
Os -1.9074 -1.8669 -0.4469
Se 0.0000 0.0000 0.0000
```

=====

DFT (PBE) results for a relaxed Os2Se crystal.

Results
relative energy among the computed polymorphs: 599 meV/atom

The structure in extended XYZ format:
```
6
Lattice="-1.5274 1.5274 10.1103 1.5274 -1.5274 10.1103 1.5274 1.5274 -10.1103" Properties=species:S:1:pos:R:3 pbc="T T T"
Os 1.5274 0.0000 3.5612
Os 1.5274 0.0000 6.5491
Os 0.0000 0.0000 11.6043
Os 0.0000 0.0000 8.6164
Se 0.0000 1.5274 5.0552
Se 0.0000 0.0000 0.0000
```

=====

DFT (PBE) results for a relaxed OsSe2 crystal.

The structure in extended XYZ format:
```
6
Lattice="8.5751 10.7852 1.2975 4.9873 12.9073 0.2568 -7.2923 -11.6902 1.3035" Properties=species:S:1:pos:R:3 pbc="T T T"
Se 7.5595 13.2058 0.8663
Se 6.0029 10.4867 0.6880
Se 3.0163 7.8913 1.2579
Se 1.4598 5.1722 1.0795
Os 4.0320 5.4707 1.6890
Os 0.0000 0.0000 0.0000
```

=====

DFT (PBE) results for a relaxed OsSe2 crystal.

The structure in extended XYZ format:
```
6
Lattice="0.7802 1.9403 -3.8651 -1.6959 -4.0524 0.1217 -5.7377 2.4026 0.0479" Properties=species:S:1:pos:R:3 pbc="T T T"
Os -2.3049 -1.4542 -1.1953
Os -4.3484 1.7447 -2.5003
Se -5.1738 -0.2529 -1.1713
Se -1.4796 0.5434 -2.5242
Se -2.8688 1.2013 0.0240
Se 0.0000 0.0000 0.0000
```

=====

DFT (PBE) results for a relaxed OsSe2 crystal.

The structure in extended XYZ format:
```
12
Lattice="-2.5978 3.2828 12.4566 -1.9992 -3.1434 12.6022 5.4592 0.2378 -11.9513" Properties=species:S:1:pos:R:3 pbc="T T T"
Os 0.0834 -1.4029 9.3011
Os -0.4973 0.0151 2.7110
Os 1.0781 -1.4330 3.8792
Os -4.0997 0.1243 22.3478
Se -1.3491 0.0409 7.3539
Se 1.2309 1.7664 1.3419
Se -2.6777 0.0812 14.5964
Se -0.0977 1.8067 8.5844
Se -1.9193 0.0582 10.4624
Se -3.2480 0.0985 17.7049
Se -0.6680 1.8240 11.6929
Se 0.6607 1.7837 4.4504
```

=====

DFT (PBE) results for a relaxed Os3Se4 crystal.

The structure in extended XYZ format:
```
7
Lattice="1.7415 4.3360 -2.9250 -2.9857 0.7768 4.5686 3.9482 0.1389 2.5567" Properties=species:S:1:pos:R:3 pbc="T T T"
Se 0.9420 0.0331 0.6100
Se 2.1399 3.2191 0.8512
Se 3.0063 0.1058 1.9467
Se 0.5642 2.0326 3.3491
Os 0.8708 2.1680 -1.4625
Os -0.6221 2.5564 0.8218
Os -1.4929 0.3884 2.2843
```

=====

DFT (PBE) results for a relaxed Os2Se crystal.

Results
relative energy among the computed polymorphs: 1026 meV/atom

The structure in extended XYZ format:
```
12
Lattice="5.9042 0.0000 0.0000 0.0000 5.9042 0.0000 0.0000 0.0000 5.9042" Properties=species:S:1:pos:R:3 pbc="T T T"
Os 0.7051 5.1992 3.6572
Os 2.2471 2.2471 3.6572
Os 3.6572 5.1992 5.1992
Os 3.6572 3.6572 2.2471
Os 5.1992 2.2471 5.1992
Os 0.7051 3.6572 0.7051
Os 5.1992 0.7051 2.2471
Os 2.2471 0.7051 0.7051
Se 0.0000 0.0000 0.0000
Se 2.9521 0.0000 2.9521
Se 2.9521 2.9521 0.0000
Se 0.0000 2.9521 2.9521
```

=====

DFT (PBE) results for a relaxed OsSe5 crystal.

Results
relative energy among the computed polymorphs: 0 meV/atom

The structure in extended XYZ format:
```
6
Lattice="1.8335 -6.5928 0.0000 1.8335 6.5928 0.0000 0.0000 0.0000 5.3742" Properties=species:S:1:pos:R:3 pbc="T T T"
Se 1.8335 -3.2174 2.6871
Se 1.8335 0.9892 0.0000
Se 1.8335 -2.3643 0.0000
Se 1.8335 6.0823 2.6871
Se 1.8335 1.4241 2.6871
Os 1.8335 5.8765 0.0000
```

=====

DFT (PBE) results for a relaxed Os2Se crystal.

Results
relative energy among the computed polymorphs: 580 meV/atom

The structure in extended XYZ format:
```
3
Lattice="4.7375 -0.0457 0.0108 2.2919 4.1464 -0.0108 -3.1635 -2.6523 2.3245" Properties=species:S:1:pos:R:3 pbc="T T T"
Se 0.0000 0.0000 0.0000
Os 2.2869 1.3342 0.0000
Os 4.7424 2.7666 0.0000
```

=====

DFT (PBE) results for a relaxed Os5Se crystal.

Results
relative energy among the computed polymorphs: 160 meV/atom

The structure in extended XYZ format:
```
6
Lattice="-3.6631 2.6111 -1.7084 0.6367 -4.5257 -1.5056 -2.5869 -1.4646 3.3084" Properties=species:S:1:pos:R:3 pbc="T T T"
Se -1.2935 -0.7323 1.6542
Os -2.3566 1.6799 -1.0991
Os -3.5233 -0.5001 0.0134
Os 0.4096 -2.9116 -0.9687
Os -1.0794 -0.6828 -1.1463
Os -2.0901 -2.8791 0.0810
```

=====

DFT (PBE) results for a relaxed OsSe2 crystal.

The structure in extended XYZ format:
```
3
Lattice="4.6130 0.0000 0.0000 -2.3065 3.9950 0.0000 0.0000 0.0000 2.8796" Properties=species:S:1:pos:R:3 pbc="T T T"
Os 0.0000 0.0000 0.0000
Se 2.3065 1.3317 1.4398
Se 0.0000 2.6633 1.4398
```

=====

DFT (PBE) results for a relaxed OsSe2 crystal.

The structure in extended XYZ format:
```
6
Lattice="2.2359 -6.5352 0.0000 2.2359 6.5352 0.0000 0.0000 0.0000 4.1888" Properties=species:S:1:pos:R:3 pbc="T T T"
Os 0.9774 0.0000 1.0472
Os 3.4945 0.0000 3.1416
Se 1.1516 -1.5550 3.1416
Se 1.1516 1.5550 3.1416
Se 3.3203 -1.5550 1.0472
Se 3.3203 1.5550 1.0472
```

=====

DFT (PBE) results for a relaxed Os5Se crystal.

Results
relative energy among the computed polymorphs: 61 meV/atom

The structure in extended XYZ format:
```
6
Lattice="-6.1418 3.5543 2.1079 4.1787 -5.0042 -3.5062 -0.4075 -2.7100 3.3821" Properties=species:S:1:pos:R:3 pbc="T T T"
Os -0.5478 -2.6086 0.6451
Os 0.7692 -2.1768 -1.6515
Os -2.7150 0.7125 0.2438
Os -6.1331 3.5471 2.1032
Os -4.1353 0.3664 2.5966
Se 2.8214 -5.4026 -1.1876
```

=====

DFT (PBE) results for a relaxed OsSe3 crystal.

Results
relative energy among the computed polymorphs: 12 meV/atom

The structure in extended XYZ format:
```
8
Lattice="-5.6436 3.5511 4.7058 0.0018 1.3013 -8.0568 -2.0675 -2.7061 -0.4375" Properties=species:S:1:pos:R:3 pbc="T T T"
Os -5.3125 0.7716 0.1234
Os -2.3969 1.3747 -3.9120
Se -2.7170 -0.2627 -5.7441
Se -2.7177 -0.7562 -2.6887
Se -2.8521 1.0624 0.1709
Se -4.9916 2.9025 -1.0999
Se -4.9923 2.4090 1.9555
Se -4.8572 1.0840 -3.9595
```

=====

DFT (PBE) results for a relaxed OsSe5 crystal.

Results
relative energy among the computed polymorphs: 265 meV/atom

The structure in extended XYZ format:
```
6
Lattice="-5.7697 4.0988 2.6054 -1.1219 -5.0004 -5.5330 -0.5754 -2.0776 1.9943" Properties=species:S:1:pos:R:3 pbc="T T T"
Se -1.8380 -0.2405 -0.7808
Se -2.9588 -3.0062 -1.8231
Se -4.2309 3.0056 1.9105
Se -0.8227 -3.6668 -4.0573
Se -4.5081 0.0269 0.8897
Os -0.2877 -1.0388 0.9971
```

=====

DFT (PBE) results for a relaxed OsSe5 crystal.

Results
relative energy among the computed polymorphs: 59 meV/atom

The structure in extended XYZ format:
```
6
Lattice="2.5104 -8.5726 0.0000 2.5104 8.5726 0.0000 0.0000 0.0000 3.7133" Properties=species:S:1:pos:R:3 pbc="T T T"
Se 2.5104 3.6592 0.0000
Se 2.5104 -7.7612 1.8566
Se 2.5104 1.9380 1.8566
Se 2.5104 6.1196 1.8566
Se 2.5104 -0.2630 0.0000
Os 2.5104 7.7377 0.0000
```

=====

DFT (PBE) results for a relaxed Os2Se crystal.

Results
relative energy among the computed polymorphs: 962 meV/atom

The structure in extended XYZ format:
```
3
Lattice="3.9970 0.0000 0.0000 0.0000 3.9970 0.0000 0.0000 0.0000 3.1053" Properties=species:S:1:pos:R:3 pbc="T T T"
Os 1.9985 0.0000 1.5527
Os 0.0000 1.9985 1.5527
Se 0.0000 0.0000 0.0000
```

=====

DFT (PBE) results for a relaxed Os2Se crystal.

Results
relative energy among the computed polymorphs: 443 meV/atom

The structure in extended XYZ format:
```
9
Lattice="3.6887 -6.3889 0.0000 3.6887 6.3889 0.0000 0.0000 0.0000 2.9224" Properties=species:S:1:pos:R:3 pbc="T T T"
Os 2.5077 -4.3435 1.4612
Os 2.3618 0.0000 1.4612
Os 4.7938 0.0000 0.0000
Os 2.5077 4.3435 1.4612
Os 1.2917 2.2373 0.0000
Os 1.2917 -2.2373 0.0000
Se 0.0000 0.0000 1.4612
Se 3.6887 2.1296 0.0000
Se 3.6887 -2.1296 0.0000
```

=====

ΔE_f (raw) values (in eV/atom) by entry order: 1.64; 0.99; 0.70; 0.92; 0.34; 0.90; 0.75; 1.19; 1.35; 0.14; 0.90; 0.59; 1.38; 0.33; 0.49; 0.21; 0.41; 0.20; 1.28; 0.76.
Spin magnetization values (in Bohr magnetons per cell) by entry order: 0.000; 0.001; 0.000; 0.000; 0.004; 0.000; 0.000; 0.003; 0.000; 0.199; 0.000; 0.000; 1.104; 0.000; 0.000; 0.000; 0.000; 0.001; 0.000; 0.000.